PmScMo2O8: optimized geometry, GGA+U.

Results
The final energy is -7.77 eV per atom. Its symmetry is I-4, No. 82. Its crystal system is tetragonal.

Cell lengths 5.194, 5.194, 6.631 Å; angles 113.06, 113.06, 90.00 degrees
Fractional coordinates of all 12 atoms:
Mo 0.250 0.750 0.500
O 0.793 0.857 0.173
O 0.143 0.620 0.827
Sc 0.000 0.000 0.000
O 0.565 0.653 0.681
O 0.347 0.884 0.319
O 0.116 0.028 0.681
O 0.380 0.316 0.173
Pm 0.750 0.250 0.500
Mo 0.500 0.500 0.000
O 0.972 0.435 0.319
O 0.684 0.207 0.827